Density functional theory data (GGA-PBE) for a geometry-optimized RbCuBH6 structure.

a b c (Å): 4.6545 5.0700 5.9988
angles (deg): 103.20 88.92 59.06
Last column: nearest neighbours and their distance in Å.
Fractional coordinates of all 9 atoms:
Rb (0.9047, 0.0152, 0.9902)  9 H 2.74-3.04
H (0.5742, 0.7227, 0.1747)  1 Cu 1.57
H (0.2817, 0.2674, 0.4567)  1 B 1.25
H (0.4382, 0.4187, 0.7533)  1 B 1.20
H (0.5124, 0.4863, 0.4354)  1 B 1.31
H (0.8012, 0.0560, 0.4838)  1 B 1.24
H (0.4657, 0.9081, 0.7120)  1 Cu 1.54
B (0.5092, 0.2930, 0.5474)  4 H 1.20-1.31
Cu (0.5125, 0.8327, 0.4463)  2 H 1.54-1.57

Symmetry: P1
Spin magnetization (μB/f.u.): 0.0
Total energy (eV/cell): -32.04